A geometry-optimized LuThInTc structure. Source: the Alexandria database, functional GGA-PBE.

Lattice parameters (Å, degrees): 7.263 7.263 7.263 90.00 90.00 90.00
Element x y z (fractional)
Lu  0.000  0.000  0.000
Lu  0.000  0.500  0.500
Lu  0.500  0.000  0.500
Lu  0.500  0.500  0.000
Th  0.000  0.000  0.500
Th  0.000  0.500  0.000
Th  0.500  0.000  0.000
Th  0.500  0.500  0.500
In  0.250  0.250  0.250
In  0.250  0.750  0.750
In  0.750  0.250  0.750
In  0.750  0.750  0.250
Tc  0.250  0.250  0.750
Tc  0.250  0.750  0.250
Tc  0.750  0.250  0.250
Tc  0.750  0.750  0.750

Computed properties:
Its total magnetization is 0.0 μB/f.u. The value obtained for the raw total energy is -25.50 eV per formula unit. Its calculated formation energy is -11 kJ/mol of atoms.